[1]
PrZr (PBE-GGA, relaxed); formation energy = 0.098 eV/atom; uncorrected energy = -52.505 eV per cell
1.0
7.9365 0.0000 0.0000
0.0000 5.6266 0.0000
0.0000 0.0000 5.3783
Pr Zr
4 4
Direct
0.1612 0.0302 0.2500
0.1612 0.4698 0.7500
0.8388 0.5302 0.2500
0.8388 0.9698 0.7500
0.4154 0.5804 0.2500
0.4154 0.9196 0.7500
0.5846 0.0804 0.2500
0.5846 0.4196 0.7500

[2]
TbNd2As2N6 (PBE-GGA, relaxed); uncorrected energy = -79.489 eV per cell
1.0
-1.9413 1.9413 9.6522
1.9413 -1.9413 9.6522
1.9413 1.9413 -9.6522
Tb Nd As N
1 2 2 6
Direct
0.0000 0.0000 0.0000
0.1788 0.1788 0.0000
0.8212 0.8212 0.0000
0.3981 0.3981 0.0000
0.6019 0.6019 0.0000
0.0816 0.5816 0.5000
0.3027 0.3027 0.0000
0.4184 0.9184 0.5000
0.5816 0.0816 0.5000
0.6973 0.6973 0.0000
0.9184 0.4184 0.5000

[3]
La3Re2Te10 (PBE-GGA, relaxed); uncorrected energy = -79.962 eV per cell
1.0
4.9525 -5.6244 0.0000
4.9525 5.6244 0.0000
-2.6656 0.0000 8.5006
La Re Te
3 2 10
Direct
0.0000 0.0000 0.0000
0.2415 0.7585 0.5000
0.7585 0.2415 0.5000
0.3988 0.3988 0.8563
0.6012 0.6012 0.1437
0.0984 0.5875 0.7876
0.1077 0.1077 0.6959
0.3363 0.3363 0.1190
0.3594 0.3594 0.5276
0.4125 0.9016 0.2124
0.5875 0.0984 0.7876
0.6406 0.6406 0.4724
0.6637 0.6637 0.8810
0.8923 0.8923 0.3041
0.9016 0.4125 0.2124

[4]
PmZr (PBE-GGA, relaxed); formation energy = 0.163 eV/atom; uncorrected energy = -51.865 eV per cell
1.0
5.9157 0.0000 0.0000
0.0000 5.4917 0.0000
0.0000 0.0000 6.8872
Pm Zr
4 4
Direct
0.0840 0.2500 0.1272
0.4160 0.7500 0.6272
0.5840 0.2500 0.3728
0.9160 0.7500 0.8728
0.0592 0.2500 0.6221
0.4408 0.7500 0.1221
0.5592 0.2500 0.8779
0.9408 0.7500 0.3779

[5]
Y4Ta2S3N3 (PBE-GGA, relaxed); uncorrected energy = -209.029 eV per cell
1.0
5.2035 -3.0136 0.0000
5.2035 3.0136 0.0000
-3.4151 0.0000 12.2234
Y Ta S N
8 4 6 6
Direct
0.0394 0.1989 0.1059
0.1287 0.2968 0.3942
0.1989 0.0394 0.6059
0.2968 0.1287 0.8942
0.7032 0.8713 0.1058
0.8011 0.9606 0.3941
0.8713 0.7032 0.6058
0.9606 0.8011 0.8941
0.3583 0.5282 0.0866
0.4718 0.6417 0.4134
0.5282 0.3583 0.5866
0.6417 0.4718 0.9134
0.1211 0.8789 0.2500
0.2850 0.4174 0.7512
0.4174 0.2850 0.2512
0.5826 0.7150 0.7488
0.7150 0.5826 0.2488
0.8789 0.1211 0.7500
0.0000 0.5000 0.0000
0.1833 0.6588 0.4998
0.3412 0.8167 0.0002
0.5000 0.0000 0.5000
0.6588 0.1833 0.9998
0.8167 0.3412 0.5002

[6]
LuNpTl (PBE-GGA, relaxed); uncorrected energy = -18.010 eV per cell
1.0
0.0000 3.6454 3.6454
3.6454 0.0000 3.6454
3.6454 3.6454 0.0000
Lu Np Tl
1 1 1
Direct
0.0000 0.0000 0.0000
0.5000 0.5000 0.5000
0.2500 0.2500 0.2500

[7]
Cd2GeSe3 (PBE-GGA, relaxed); uncorrected energy = -36.776 eV per cell
1.0
1.9740 -6.6680 0.0000
1.9740 6.6680 0.0000
0.0000 0.0000 11.4217
Cd Ge Se
4 2 6
Direct
0.0000 0.0000 0.0000
0.0000 0.0000 0.5000
0.4913 0.5087 0.7500
0.5087 0.4913 0.2500
0.2231 0.7769 0.2500
0.7769 0.2231 0.7500
0.1278 0.8722 0.7500
0.3629 0.6371 0.5741
0.3629 0.6371 0.9259
0.6371 0.3629 0.0741
0.6371 0.3629 0.4259
0.8722 0.1278 0.2500

[8]
ZrAl2Au (PBE-GGA, relaxed); uncorrected energy = -20.143 eV per cell
1.0
0.0000 3.3253 3.3253
3.3253 0.0000 3.3253
3.3253 3.3253 0.0000
Zr Al Au
1 2 1
Direct
0.0000 0.0000 0.0000
0.5000 0.5000 0.5000
0.7500 0.7500 0.7500
0.2500 0.2500 0.2500

[9]
HoZrNi4 (PBE-GGA, relaxed); formation energy = -0.413 eV/atom; uncorrected energy = -37.871 eV per cell
1.0
0.0000 3.5243 3.5243
3.5243 0.0000 3.5243
3.5243 3.5243 0.0000
Ho Zr Ni
1 1 4
Direct
0.0000 0.0000 0.0000
0.2500 0.2500 0.2500
0.1240 0.6253 0.6253
0.6253 0.1240 0.6253
0.6253 0.6253 0.1240
0.6253 0.6253 0.6253

[10]
SmMgAuO3 (PBE-GGA, relaxed); uncorrected energy = -70.752 eV per cell
1.0
1.6176 -7.4766 0.0000
1.6176 7.4766 0.0000
0.0000 0.0000 6.6993
Sm Mg Au O
2 2 2 6
Direct
0.0000 0.0000 0.0000
0.0000 0.0000 0.5000
0.3358 0.6642 0.7500
0.6642 0.3358 0.2500
0.3240 0.6760 0.2500
0.6760 0.3240 0.7500
0.1533 0.8467 0.0449
0.1533 0.8467 0.4551
0.4838 0.5162 0.7500
0.5162 0.4838 0.2500
0.8467 0.1533 0.5449
0.8467 0.1533 0.9551

[11]
TmMoAu (PBE-GGA, relaxed); formation energy = 0.795 eV/atom; uncorrected energy = -16.204 eV per cell
1.0
0.0000 3.2809 3.2809
3.2809 0.0000 3.2809
3.2809 3.2809 0.0000
Tm Mo Au
1 1 1
Direct
0.0000 0.0000 0.0000
0.2500 0.2500 0.2500
0.7500 0.7500 0.7500

[12]
LiInNiGe (PBE-GGA, relaxed); uncorrected energy = -15.541 eV per cell
1.0
0.0000 3.1145 3.1145
3.1145 0.0000 3.1145
3.1145 3.1145 0.0000
Li In Ni Ge
1 1 1 1
Direct
0.0000 0.0000 0.0000
0.7500 0.7500 0.7500
0.5000 0.5000 0.5000
0.2500 0.2500 0.2500

Question: Number 9 is which compound?
Answer: HoZrNi4